# 1
# PBE-GGA Pt3W2, optimized geometry
# Calculated total energy, eV per atom: -8.55
# ΔH_f (0 K), eV/atom: 0.26
data_Pt3W2
_chemical_formula_sum 'Pt3 W2'
_symmetry_space_group_name_H-M 'P -3 m 1'
_symmetry_Int_Tables_number 164
_symmetry_space_group_name_Hall '-P 3 2"'
_cell_length_a 4.3093
_cell_length_b 4.3093
_cell_length_c 5.5341
_cell_angle_alpha 90.00
_cell_angle_beta 90.00
_cell_angle_gamma 120.00
loop_
_atom_site_label
_atom_site_type_symbol
_atom_site_fract_x
_atom_site_fract_y
_atom_site_fract_z
Pt1 Pt 0.0000 0.0000 0.0000
Pt2 Pt 0.3333 0.6667 0.3723
W1 W 0.3333 0.6667 0.8524

=====

# 2
# PBE-GGA CaNbCr, optimized geometry
# Calculated total energy, eV per atom: -6.75
# ΔH_f (0 K), eV/atom: 0.48
# ΔE to the lowest computed polymorph, meV per atom: 150
data_CaNbCr
_chemical_formula_sum 'Ca4 Nb4 Cr4'
_symmetry_space_group_name_H-M 'C m c m'
_symmetry_Int_Tables_number 63
_symmetry_space_group_name_Hall '-C 2c 2'
_cell_length_a 4.012
_cell_length_b 11.507
_cell_length_c 5.888
_cell_angle_alpha 90.00
_cell_angle_beta 90.00
_cell_angle_gamma 90.00
loop_
_atom_site_label
_atom_site_type_symbol
_atom_site_fract_x
_atom_site_fract_y
_atom_site_fract_z
Ca1 Ca 0.000 0.218 0.250
Nb1 Nb 0.000 0.500 0.000
Cr1 Cr 0.000 0.050 0.750